Entry 1:
## P2IrRh2 (PBE)

Data for an optimized crystal structure of P2IrRh2.

abc: 6.619 6.619 3.090
angles: 90.00 90.00 90.00
Space group P4/mbm (No. 127)
Unique sites:
P1 0.153 0.347 0.000
Ir1 0.000 0.000 0.000
Rh1 0.143 0.643 0.500

Values from the calculation:
size of the total moment = 0.0 μB per cell
crystal system = tetragonal
formation energy from the elements = -0.2265 eV/atom


Entry 2:
## MgMnAg2 (PBE)

Data for an optimized crystal structure of MgMnAg2.

abc: 6.543 6.543 6.543
angles: 90.00 90.00 90.00
Space group F-43m (No. 216)
Unique sites:
Mg1 0.000 0.000 0.000
Mn1 0.250 0.250 0.250
Ag1 0.000 0.000 0.500
Ag2 0.250 0.250 0.750

Values from the calculation:
size of the total moment = 16.0 μB per cell
crystal system = cubic
formation energy from the elements = 0.1170 eV/atom


Entry 3:
## Ca7Ac2Nd2 (PBE)

Data for an optimized crystal structure of Ca7Ac2Nd2.

abc: 7.568 11.354 10.762
angles: 90.00 90.54 90.00
Space group C2/m (No. 12)
Unique sites:
Ca1 0.000 0.000 0.000
Ca2 0.137 0.300 0.847
Ca3 0.214 0.500 0.287
Ac1 0.000 0.274 0.500
Nd1 0.174 0.000 0.378

Values from the calculation:
size of the total moment = 0.0 μB per cell
crystal system = monoclinic
formation energy from the elements = 0.1035 eV/atom


Entry 4:
## TaSi2Se (PBE)

Data for an optimized crystal structure of TaSi2Se.

abc: 3.878 3.878 8.771
angles: 90.00 90.00 90.00
Space group I-4m2 (No. 119)
Unique sites:
Ta1 0.000 0.000 0.000
Si1 0.000 0.000 0.500
Si2 0.000 0.500 0.250
Se1 0.000 0.500 0.750

Values from the calculation:
size of the total moment = 0.0 μB per cell
crystal system = tetragonal
energy relative to the elements, uncorrected = 0.3814 eV/atom


Entry 5:
## MnBe12 (PBE)

Data for an optimized crystal structure of MnBe12.

abc: 7.156 7.156 4.120
angles: 90.00 90.00 90.00
Space group I4/mmm (No. 139)
Unique sites:
Mn1 0.000 0.000 0.000
Be1 0.000 0.210 0.500
Be2 0.000 0.348 0.000
Be3 0.250 0.250 0.250

Values from the calculation:
size of the total moment = 2.8 μB per cell
crystal system = tetragonal
formation energy from the elements = -0.0733 eV/atom


Entry 6:
## Li4AgPt2 (PBE)

Data for an optimized crystal structure of Li4AgPt2.

abc: 4.768 10.167 4.816
angles: 90.00 90.00 90.00
Space group Cmmm (No. 65)
Unique sites:
Li1 0.000 0.128 0.000
Li2 0.000 0.330 0.500
Ag1 0.000 0.000 0.500
Pt1 0.000 0.374 0.000

Values from the calculation:
size of the total moment = 0.0 μB per cell
crystal system = orthorhombic
formation energy from the elements = -0.1288 eV/atom


Entry 7:
## Pm4C2F5 (PBE)

Data for an optimized crystal structure of Pm4C2F5.

abc: 3.755 6.766 15.254
angles: 90.00 90.00 90.00
Space group Immm (No. 71)
Unique sites:
Pm1 0.000 0.000 0.192
Pm2 0.000 0.265 0.500
C1 0.000 0.000 0.047
F1 0.000 0.271 0.314
F2 0.000 0.500 0.000

Values from the calculation:
size of the total moment = 0.0 μB per cell
crystal system = orthorhombic
energy relative to the elements, uncorrected = -2.4693 eV/atom


Entry 8:
## SrThSb2Pd2 (PBE)

Data for an optimized crystal structure of SrThSb2Pd2.

abc: 4.6333 4.6333 8.3863
angles: 90.00 90.00 120.00
Space group P-3m1 (No. 164)
Unique sites:
Sr1 0.0000 0.0000 0.0000
Th1 0.0000 0.0000 0.5000
Sb1 0.3333 0.6667 0.7363
Pd1 0.3333 0.6667 0.2811

Values from the calculation:
size of the total moment = 0.0 μB per cell
crystal system = trigonal
energy relative to the elements, uncorrected = -0.9986 eV/atom


Entry 9:
## TlCuPd4 (PBE)

Data for an optimized crystal structure of TlCuPd4.

abc: 4.893 8.523 4.863
angles: 90.00 107.65 90.00
Space group C2/m (No. 12)
Unique sites:
Tl1 0.000 0.000 0.000
Cu1 0.000 0.500 0.500
Pd1 0.000 0.169 0.500
Pd2 0.000 0.337 0.000

Values from the calculation:
size of the total moment = 0.0 μB per cell
crystal system = monoclinic
formation energy from the elements = -0.1122 eV/atom


Entry 10:
## HfAlFe3 (PBE)

Data for an optimized crystal structure of HfAlFe3.

abc: 4.222 4.222 4.222
angles: 90.00 90.00 90.00
Space group Pm-3m (No. 221)
Unique sites:
Hf1 0.000 0.000 0.000
Al1 0.500 0.500 0.500
Fe1 0.000 0.500 0.500

Values from the calculation:
size of the total moment = 3.0 μB per cell
crystal system = cubic
formation energy from the elements = 0.6474 eV/atom


Entry 11:
## RbReTc2B (PBE)

Data for an optimized crystal structure of RbReTc2B.

abc: 4.713 4.713 6.517
angles: 90.00 90.00 90.00
Space group P4/mmm (No. 123)
Unique sites:
Rb1 0.000 0.000 0.000
Re1 0.000 0.000 0.500
Tc1 0.000 0.500 0.500
B1 0.500 0.500 0.000

Values from the calculation:
size of the total moment = 1.8 μB per cell
crystal system = tetragonal
formation energy from the elements = 2.5641 eV/atom


Entry 12:
## Ba2SbH (PBE)

Data for an optimized crystal structure of Ba2SbH.

abc: 5.178 5.178 9.759
angles: 90.00 90.00 90.00
Space group P4/nmm (No. 129, origin choice 2)
Unique sites:
Ba1 0.250 0.250 0.143
Ba2 0.250 0.750 0.500
Sb1 0.250 0.250 0.773
H1 0.250 0.250 0.415

Values from the calculation:
total energy = -29.7 eV per cell
size of the total moment = 0.0 μB per cell
crystal system = tetragonal


Entry 13:
## Cs2NdCdF6 (PBE)

Data for an optimized crystal structure of Cs2NdCdF6.

abc: 6.876 9.716 6.876
angles: 90.00 90.00 90.00
Space group Pmmn (No. 59, origin choice 2)
Unique sites:
Cs1 0.250 0.000 0.246
Nd1 0.250 0.250 0.751
Cd1 0.250 0.750 0.749
F1 0.013 0.250 0.986
F2 0.016 0.250 0.515
F3 0.250 0.015 0.761

Values from the calculation:
size of the total moment = 1.9 μB per cell
crystal system = orthorhombic
energy relative to the elements, uncorrected = -2.9211 eV/atom


Entry 14:
## MgAlIn2 (PBE)

Data for an optimized crystal structure of MgAlIn2.

abc: 4.555 4.555 4.361
angles: 90.00 90.00 90.00
Space group P4/mmm (No. 123)
Unique sites:
Mg1 0.000 0.000 0.000
Al1 0.500 0.500 0.000
In1 0.000 0.500 0.500

Values from the calculation:
size of the total moment = 0.0 μB per cell
crystal system = tetragonal
formation energy from the elements = 0.0422 eV/atom


Entry 15:
## SiPAu (PBE)

Data for an optimized crystal structure of SiPAu.

abc: 2.785 3.302 10.763
angles: 90.00 90.00 90.00
Space group Imm2 (No. 44)
Unique sites:
Si1 0.000 0.000 0.000
P1 0.000 0.000 0.373
Au1 0.000 0.000 0.670

Values from the calculation:
size of the total moment = 0.0 μB per cell
crystal system = orthorhombic
energy relative to the elements, uncorrected = 0.4399 eV/atom


Entry 16:
## NiOsCl2 (PBE)

Data for an optimized crystal structure of NiOsCl2.

abc: 5.304 3.063 9.019
angles: 90.00 100.65 90.00
Space group Cm (No. 8)
Unique sites:
Ni1 0.000 0.000 0.000
Os1 0.396 0.000 0.200
Cl1 0.114 0.500 0.833
Cl2 0.294 0.500 0.407

Values from the calculation:
size of the total moment = 0.0 μB per cell
crystal system = monoclinic
energy relative to the elements, uncorrected = 0.2062 eV/atom


Entry 17:
## AcPrPt10 (PBE)

Data for an optimized crystal structure of AcPrPt10.

abc: 4.427 5.495 9.496
angles: 90.00 90.00 90.00
Space group Pmmm (No. 47)
Unique sites:
Ac1 0.000 0.000 0.000
Pr1 0.000 0.500 0.500
Pt1 0.000 0.000 0.337
Pt2 0.000 0.500 0.171
Pt3 0.500 0.000 0.500
Pt4 0.500 0.251 0.253
Pt5 0.500 0.500 0.000

Values from the calculation:
size of the total moment = 0.0 μB per cell
crystal system = orthorhombic
formation energy from the elements = -0.7456 eV/atom


Entry 18:
## SbPtS2Cl (PBE)

Data for an optimized crystal structure of SbPtS2Cl.

abc: 4.587 4.587 5.750
angles: 90.00 90.00 90.00
Space group P4/mmm (No. 123)
Unique sites:
Sb1 0.000 0.000 0.000
Pt1 0.000 0.000 0.500
S1 0.000 0.500 0.500
Cl1 0.500 0.500 0.000

Values from the calculation:
size of the total moment = 0.0 μB per cell
crystal system = tetragonal
energy relative to the elements, uncorrected = 0.3367 eV/atom


Entry 19:
## Tl3Bi12Au5 (PBE)

Data for an optimized crystal structure of Tl3Bi12Au5.

abc: 17.595 17.595 17.595
angles: 90.00 90.00 90.00
Space group Ia-3d (No. 230)
Unique sites:
Tl1 0.000 0.250 0.125
Bi1 0.042 0.077 0.639
Au1 0.000 0.000 0.000
Au2 0.000 0.250 0.375

Values from the calculation:
size of the total moment = 0.0 μB per cell
crystal system = cubic
formation energy from the elements = 0.1746 eV/atom


Entry 20:
## Sc7Tl3O2 (PBE)

Data for an optimized crystal structure of Sc7Tl3O2.

abc: 4.508 22.979 4.377
angles: 90.00 90.00 90.00
Space group Cmmm (No. 65)
Unique sites:
Sc1 0.000 0.000 0.000
Sc2 0.000 0.096 0.500
Sc3 0.000 0.198 0.000
Sc4 0.000 0.400 0.000
Tl1 0.000 0.308 0.500
Tl2 0.000 0.500 0.500
O1 0.000 0.098 0.000

Values from the calculation:
size of the total moment = 0.0 μB per cell
crystal system = orthorhombic
energy relative to the elements, uncorrected = -1.2036 eV/atom